No. 1
Material: RbTa3Al
Method: DFT, PBE-GGA
State: optimized geometry

Summary:
- magnetization (μB per formula unit) = 0.00
- energy above the most stable polymorph in this dataset (eV/atom) = 1.1550
- formation energy from the elements (kJ/mol of formula units) = 1471
- SG = Pm-3m
- mass density (g cm⁻³) = 9.9

Cell and atoms, written as CIF:
```
data_RbTa3Al
_symmetry_space_group_name_H-M 'P 1'
_symmetry_Int_Tables_number 1
_cell_length_a 4.7856
_cell_length_b 4.7856
_cell_length_c 4.7856
_cell_angle_alpha 90.00
_cell_angle_beta 90.00
_cell_angle_gamma 90.00
loop_
_symmetry_equiv_pos_as_xyz
'x,y,z'
loop_
_atom_site_label
_atom_site_type_symbol
_atom_site_fract_x
_atom_site_fract_y
_atom_site_fract_z
Rb1 Rb 0.0000 0.0000 0.0000
Ta1 Ta 0.0000 0.0000 0.5000
Ta2 Ta 0.0000 0.5000 0.0000
Ta3 Ta 0.5000 0.0000 0.0000
Al1 Al 0.5000 0.5000 0.5000
```

No. 2
Material: Rb2TaTiAl
Method: DFT, PBE-GGA
State: optimized geometry

Summary:
- magnetization (μB per formula unit) = 2.98
- formation energy from the elements (kJ/mol of formula units) = 1066
- SG = P4/mmm
- mass density (g cm⁻³) = 3.8

Cell and atoms, written as CIF:
```
data_Rb2TaTiAl
_symmetry_space_group_name_H-M 'P 1'
_symmetry_Int_Tables_number 1
_cell_length_a 6.0355
_cell_length_b 6.0355
_cell_length_c 5.1812
_cell_angle_alpha 90.00
_cell_angle_beta 90.00
_cell_angle_gamma 90.00
loop_
_symmetry_equiv_pos_as_xyz
'x,y,z'
loop_
_atom_site_label
_atom_site_type_symbol
_atom_site_fract_x
_atom_site_fract_y
_atom_site_fract_z
Rb1 Rb 0.0000 0.5000 0.0000
Rb2 Rb 0.5000 0.0000 0.0000
Ta1 Ta 0.0000 0.0000 0.5000
Ti1 Ti 0.5000 0.5000 0.0000
Al1 Al 0.5000 0.5000 0.5000
```

No. 3
Material: RbTaAlV2
Method: DFT, PBE-GGA
State: optimized geometry

Summary:
- magnetization (μB per formula unit) = 0.00
- formation energy from the elements (kJ/mol of formula units) = 1277
- SG = P4/mmm
- mass density (g cm⁻³) = 6.8

Cell and atoms, written as CIF:
```
data_RbTaAlV2
_symmetry_space_group_name_H-M 'P 1'
_symmetry_Int_Tables_number 1
_cell_length_a 4.4512
_cell_length_b 4.4512
_cell_length_c 4.8802
_cell_angle_alpha 90.00
_cell_angle_beta 90.00
_cell_angle_gamma 90.00
loop_
_symmetry_equiv_pos_as_xyz
'x,y,z'
loop_
_atom_site_label
_atom_site_type_symbol
_atom_site_fract_x
_atom_site_fract_y
_atom_site_fract_z
Rb1 Rb 0.0000 0.0000 0.0000
Ta1 Ta 0.0000 0.0000 0.5000
Al1 Al 0.5000 0.5000 0.5000
V1 V 0.0000 0.5000 0.0000
V2 V 0.5000 0.0000 0.0000
```

No. 4
Material: Rb3Tb3AlTe8
Method: DFT, PBE-GGA
State: optimized geometry

Summary:
- magnetization (μB per formula unit) = 0.00
- SG = C2/m
- raw formation energy (kJ per mole of atoms) = -107
- mass density (g cm⁻³) = 5.0

Cell and atoms, written as CIF:
```
data_Rb3Tb3AlTe8
_symmetry_space_group_name_H-M 'P 1'
_symmetry_Int_Tables_number 1
_cell_length_a 8.7338
_cell_length_b 8.7338
_cell_length_c 10.2335
_cell_angle_alpha 115.24
_cell_angle_beta 115.24
_cell_angle_gamma 60.04
loop_
_symmetry_equiv_pos_as_xyz
'x,y,z'
loop_
_atom_site_label
_atom_site_type_symbol
_atom_site_fract_x
_atom_site_fract_y
_atom_site_fract_z
Rb1 Rb 0.0000 0.0000 0.0000
Rb2 Rb 0.0000 0.5000 0.0000
Rb3 Rb 0.5000 0.0000 0.0000
Tb1 Tb 0.0000 0.5000 0.5000
Tb2 Tb 0.5000 0.0000 0.5000
Tb3 Tb 0.5000 0.5000 0.5000
Al1 Al 0.0000 0.0000 0.5000
Te1 Te 0.2185 0.7513 0.6883
Te2 Te 0.2187 0.2187 0.6885
Te3 Te 0.2487 0.7815 0.3117
Te4 Te 0.2659 0.2659 0.2976
Te5 Te 0.7341 0.7341 0.7024
Te6 Te 0.7513 0.2185 0.6883
Te7 Te 0.7813 0.7813 0.3115
Te8 Te 0.7815 0.2487 0.3117
```

No. 5
Material: Rb2AlTc2
Method: DFT, PBE-GGA
State: optimized geometry

Summary:
- magnetization (μB per formula unit) = 4.50
- energy above the most stable polymorph in this dataset (eV/atom) = 1.1209
- formation energy from the elements (kJ/mol of formula units) = 963
- SG = P4/mbm
- mass density (g cm⁻³) = 4.3

Cell and atoms, written as CIF:
```
data_Rb2AlTc2
_symmetry_space_group_name_H-M 'P 1'
_symmetry_Int_Tables_number 1
_cell_length_a 10.4740
_cell_length_b 10.4740
_cell_length_c 2.7723
_cell_angle_alpha 90.00
_cell_angle_beta 90.00
_cell_angle_gamma 90.00
loop_
_symmetry_equiv_pos_as_xyz
'x,y,z'
loop_
_atom_site_label
_atom_site_type_symbol
_atom_site_fract_x
_atom_site_fract_y
_atom_site_fract_z
Rb1 Rb 0.1228 0.3772 0.0000
Rb2 Rb 0.3772 0.8772 0.0000
Rb3 Rb 0.6228 0.1228 0.0000
Rb4 Rb 0.8772 0.6228 0.0000
Al1 Al 0.0000 0.0000 0.0000
Al2 Al 0.5000 0.5000 0.0000
Tc1 Tc 0.1785 0.6785 0.5000
Tc2 Tc 0.3215 0.1785 0.5000
Tc3 Tc 0.6785 0.8215 0.5000
Tc4 Tc 0.8215 0.3215 0.5000
```

No. 6
Material: Rb2AlTc2
Method: DFT, PBE-GGA
State: optimized geometry

Summary:
- magnetization (μB per formula unit) = 0.00
- energy above the most stable polymorph in this dataset (eV/atom) = 0.0000
- formation energy from the elements (kJ/mol of formula units) = 422
- SG = I4/mmm
- mass density (g cm⁻³) = 4.3

Cell and atoms, written as CIF:
```
data_Rb2AlTc2
_symmetry_space_group_name_H-M 'P 1'
_symmetry_Int_Tables_number 1
_cell_length_a 3.4673
_cell_length_b 3.4673
_cell_length_c 25.1776
_cell_angle_alpha 90.00
_cell_angle_beta 90.00
_cell_angle_gamma 90.00
loop_
_symmetry_equiv_pos_as_xyz
'x,y,z'
loop_
_atom_site_label
_atom_site_type_symbol
_atom_site_fract_x
_atom_site_fract_y
_atom_site_fract_z
Rb1 Rb 0.0000 0.0000 0.1203
Rb2 Rb 0.0000 0.0000 0.8797
Rb3 Rb 0.5000 0.5000 0.3797
Rb4 Rb 0.5000 0.5000 0.6203
Al1 Al 0.0000 0.0000 0.5000
Al2 Al 0.5000 0.5000 0.0000
Tc1 Tc 0.0000 0.5000 0.2500
Tc2 Tc 0.0000 0.5000 0.7500
Tc3 Tc 0.5000 0.0000 0.2500
Tc4 Tc 0.5000 0.0000 0.7500
```

No. 7
Material: RbAl2Tc
Method: DFT, PBE-GGA
State: optimized geometry

Summary:
- magnetization (μB per formula unit) = 0.00
- energy above the most stable polymorph in this dataset (eV/atom) = 0.0000
- formation energy from the elements (kJ/mol of formula units) = 257
- SG = I4_1/amd
- mass density (g cm⁻³) = 2.7

Cell and atoms, written as CIF:
```
data_RbAl2Tc
_symmetry_space_group_name_H-M 'P 1'
_symmetry_Int_Tables_number 1
_cell_length_a 6.3411
_cell_length_b 6.3411
_cell_length_c 14.3593
_cell_angle_alpha 90.00
_cell_angle_beta 90.00
_cell_angle_gamma 90.00
loop_
_symmetry_equiv_pos_as_xyz
'x,y,z'
loop_
_atom_site_label
_atom_site_type_symbol
_atom_site_fract_x
_atom_site_fract_y
_atom_site_fract_z
Rb1 Rb 0.0000 0.2500 0.3750
Rb2 Rb 0.0000 0.7500 0.6250
Rb3 Rb 0.5000 0.2500 0.1250
Rb4 Rb 0.5000 0.7500 0.8750
Al1 Al 0.0000 0.0000 0.0000
Al2 Al 0.0000 0.5000 0.0000
Al3 Al 0.2500 0.2500 0.7500
Al4 Al 0.2500 0.7500 0.2500
Al5 Al 0.5000 0.0000 0.5000
Al6 Al 0.5000 0.5000 0.5000
Al7 Al 0.7500 0.2500 0.7500
Al8 Al 0.7500 0.7500 0.2500
Tc1 Tc 0.0000 0.2500 0.8750
Tc2 Tc 0.0000 0.7500 0.1250
Tc3 Tc 0.5000 0.2500 0.6250
Tc4 Tc 0.5000 0.7500 0.3750
```

No. 8
Material: RbAl3Tc
Method: DFT, PBE-GGA
State: optimized geometry

Summary:
- magnetization (μB per formula unit) = 0.00
- energy above the most stable polymorph in this dataset (eV/atom) = 0.0000
- formation energy from the elements (kJ/mol of formula units) = 3
- SG = Pm-3m
- mass density (g cm⁻³) = 3.7

Cell and atoms, written as CIF:
```
data_RbAl3Tc
_symmetry_space_group_name_H-M 'P 1'
_symmetry_Int_Tables_number 1
_cell_length_a 4.9343
_cell_length_b 4.9343
_cell_length_c 4.9343
_cell_angle_alpha 90.00
_cell_angle_beta 90.00
_cell_angle_gamma 90.00
loop_
_symmetry_equiv_pos_as_xyz
'x,y,z'
loop_
_atom_site_label
_atom_site_type_symbol
_atom_site_fract_x
_atom_site_fract_y
_atom_site_fract_z
Rb1 Rb 0.0000 0.0000 0.0000
Al1 Al 0.0000 0.5000 0.5000
Al2 Al 0.5000 0.0000 0.5000
Al3 Al 0.5000 0.5000 0.0000
Tc1 Tc 0.5000 0.5000 0.5000
```

No. 9
Material: RbAlTc2
Method: DFT, PBE-GGA
State: optimized geometry

Summary:
- magnetization (μB per formula unit) = 0.00
- formation energy from the elements (kJ/mol of formula units) = 463
- SG = I-42d
- mass density (g cm⁻³) = 5.0

Cell and atoms, written as CIF:
```
data_RbAlTc2
_symmetry_space_group_name_H-M 'P 1'
_symmetry_Int_Tables_number 1
_cell_length_a 4.6733
_cell_length_b 4.6733
_cell_length_c 18.6583
_cell_angle_alpha 90.00
_cell_angle_beta 90.00
_cell_angle_gamma 90.00
loop_
_symmetry_equiv_pos_as_xyz
'x,y,z'
loop_
_atom_site_label
_atom_site_type_symbol
_atom_site_fract_x
_atom_site_fract_y
_atom_site_fract_z
Rb1 Rb 0.0000 0.0000 0.0000
Rb2 Rb 0.0000 0.5000 0.2500
Rb3 Rb 0.5000 0.0000 0.7500
Rb4 Rb 0.5000 0.5000 0.5000
Al1 Al 0.0000 0.0000 0.5000
Al2 Al 0.0000 0.5000 0.7500
Al3 Al 0.5000 0.0000 0.2500
Al4 Al 0.5000 0.5000 0.0000
Tc1 Tc 0.0598 0.2500 0.6250
Tc2 Tc 0.2500 0.5598 0.8750
Tc3 Tc 0.2500 0.9402 0.3750
Tc4 Tc 0.4402 0.2500 0.1250
Tc5 Tc 0.5598 0.7500 0.1250
Tc6 Tc 0.7500 0.0598 0.3750
Tc7 Tc 0.7500 0.4402 0.8750
Tc8 Tc 0.9402 0.7500 0.6250
```

No. 10
Material: RbAl2Tc
Method: DFT, PBE-GGA
State: optimized geometry

Summary:
- magnetization (μB per formula unit) = 1.83
- energy above the most stable polymorph in this dataset (eV/atom) = 0.3710
- formation energy from the elements (kJ/mol of formula units) = 400
- SG = Fm-3m
- mass density (g cm⁻³) = 4.7

Cell and atoms, written as CIF:
```
data_RbAl2Tc
_symmetry_space_group_name_H-M 'P 1'
_symmetry_Int_Tables_number 1
_cell_length_a 6.9564
_cell_length_b 6.9564
_cell_length_c 6.9564
_cell_angle_alpha 90.00
_cell_angle_beta 90.00
_cell_angle_gamma 90.00
loop_
_symmetry_equiv_pos_as_xyz
'x,y,z'
loop_
_atom_site_label
_atom_site_type_symbol
_atom_site_fract_x
_atom_site_fract_y
_atom_site_fract_z
Rb1 Rb 0.0000 0.0000 0.0000
Rb2 Rb 0.0000 0.5000 0.5000
Rb3 Rb 0.5000 0.0000 0.5000
Rb4 Rb 0.5000 0.5000 0.0000
Al1 Al 0.2500 0.2500 0.2500
Al2 Al 0.2500 0.2500 0.7500
Al3 Al 0.2500 0.7500 0.2500
Al4 Al 0.2500 0.7500 0.7500
Al5 Al 0.7500 0.2500 0.2500
Al6 Al 0.7500 0.2500 0.7500
Al7 Al 0.7500 0.7500 0.2500
Al8 Al 0.7500 0.7500 0.7500
Tc1 Tc 0.0000 0.0000 0.5000
Tc2 Tc 0.0000 0.5000 0.0000
Tc3 Tc 0.5000 0.0000 0.0000
Tc4 Tc 0.5000 0.5000 0.5000
```

No. 11
Material: RbAl3Tc
Method: DFT, PBE-GGA
State: optimized geometry

Summary:
- magnetization (μB per formula unit) = 2.98
- energy above the most stable polymorph in this dataset (eV/atom) = 2.4133
- formation energy from the elements (kJ/mol of formula units) = 1167
- SG = Pm-3m
- mass density (g cm⁻³) = 2.6

Cell and atoms, written as CIF:
```
data_RbAl3Tc
_symmetry_space_group_name_H-M 'P 1'
_symmetry_Int_Tables_number 1
_cell_length_a 5.5182
_cell_length_b 5.5182
_cell_length_c 5.5182
_cell_angle_alpha 90.00
_cell_angle_beta 90.00
_cell_angle_gamma 90.00
loop_
_symmetry_equiv_pos_as_xyz
'x,y,z'
loop_
_atom_site_label
_atom_site_type_symbol
_atom_site_fract_x
_atom_site_fract_y
_atom_site_fract_z
Rb1 Rb 0.0000 0.0000 0.0000
Al1 Al 0.0000 0.0000 0.5000
Al2 Al 0.0000 0.5000 0.0000
Al3 Al 0.5000 0.0000 0.0000
Tc1 Tc 0.5000 0.5000 0.5000
```

No. 12
Material: Rb2AlVTc
Method: DFT, PBE-GGA
State: optimized geometry

Summary:
- magnetization (μB per formula unit) = 3.91
- formation energy from the elements (kJ/mol of formula units) = 966
- SG = P4/mmm
- mass density (g cm⁻³) = 2.6

Cell and atoms, written as CIF:
```
data_Rb2AlVTc
_symmetry_space_group_name_H-M 'P 1'
_symmetry_Int_Tables_number 1
_cell_length_a 6.6480
_cell_length_b 6.6480
_cell_length_c 4.9657
_cell_angle_alpha 90.00
_cell_angle_beta 90.00
_cell_angle_gamma 90.00
loop_
_symmetry_equiv_pos_as_xyz
'x,y,z'
loop_
_atom_site_label
_atom_site_type_symbol
_atom_site_fract_x
_atom_site_fract_y
_atom_site_fract_z
Rb1 Rb 0.0000 0.5000 0.0000
Rb2 Rb 0.5000 0.0000 0.0000
Al1 Al 0.0000 0.0000 0.0000
V1 V 0.0000 0.0000 0.5000
Tc1 Tc 0.5000 0.5000 0.5000
```